A geometry-optimized CeSiS6 structure, computed with PBE.

```
data_CeSiS6
_chemical_formula_sum 'Ce4 Si4 S24'
_cell_length_a 9.761
_cell_length_b 9.761
_cell_length_c 9.761
_cell_angle_alpha 90.00
_cell_angle_beta 90.00
_cell_angle_gamma 90.00
_symmetry_space_group_name_H-M 'F m -3 m'
_symmetry_Int_Tables_number 225
_symmetry_space_group_name_Hall '-F 4 2 3'
loop_
_atom_site_label
_atom_site_fract_x
_atom_site_fract_y
_atom_site_fract_z
Ce1 0.000 0.000 0.000
Si1 0.000 0.000 0.500
S1 0.000 0.000 0.273
```

Results
Formation energy from raw total energies = -220.7 meV/atom
Total moment = 0.00 μB/f.u.
VASP energy = -37.9 eV/f.u.

=====

A geometry-optimized TeAu2Br structure, computed with PBE.

```
data_TeAu2Br
_chemical_formula_sum 'Te2 Au4 Br2'
_cell_length_a 7.206
_cell_length_b 4.169
_cell_length_c 7.554
_cell_angle_alpha 90.00
_cell_angle_beta 109.06
_cell_angle_gamma 90.00
_symmetry_space_group_name_H-M 'C 1 m 1'
_symmetry_Int_Tables_number 8
_symmetry_space_group_name_Hall 'C -2y'
loop_
_atom_site_label
_atom_site_fract_x
_atom_site_fract_y
_atom_site_fract_z
Te1 0.000 0.000 0.000
Au1 0.037 0.500 0.615
Au2 0.275 0.000 0.828
Br1 0.303 0.500 0.413
```

Results
Formation energy from raw total energies = 13.0 meV/atom
Total moment = 0.00 μB/f.u.
VASP energy = -11.3 eV/f.u.

=====

A geometry-optimized YIrPt2 structure, computed with PBE.

```
data_YIrPt2
_chemical_formula_sum 'Y2 Ir2 Pt4'
_cell_length_a 4.112
_cell_length_b 4.112
_cell_length_c 8.313
_cell_angle_alpha 90.00
_cell_angle_beta 90.00
_cell_angle_gamma 90.00
_symmetry_space_group_name_H-M 'I -4 m 2'
_symmetry_Int_Tables_number 119
_symmetry_space_group_name_Hall 'I -4 -2'
loop_
_atom_site_label
_atom_site_fract_x
_atom_site_fract_y
_atom_site_fract_z
Y1 0.000 0.000 0.000
Ir1 0.000 0.500 0.250
Pt1 0.000 0.000 0.500
Pt2 0.000 0.500 0.750
```

Results
Total moment = 0.00 μB/f.u.
VASP energy = -29.6 eV/f.u.
Formation enthalpy at 0 K = -558 meV/atom

=====

A geometry-optimized Cd3Cu structure, computed with PBE.

```
data_Cd3Cu
_chemical_formula_sum 'Cd3 Cu1'
_cell_length_a 2.927
_cell_length_b 3.211
_cell_length_c 8.983
_cell_angle_alpha 90.00
_cell_angle_beta 90.00
_cell_angle_gamma 90.00
_symmetry_space_group_name_H-M 'P m m 2'
_symmetry_Int_Tables_number 25
_symmetry_space_group_name_Hall 'P 2 -2'
loop_
_atom_site_label
_atom_site_fract_x
_atom_site_fract_y
_atom_site_fract_z
Cd1 0.000 0.000 0.000
Cd2 0.000 0.500 0.443
Cd3 0.500 0.500 0.739
Cu1 0.500 0.000 0.251
```

Results
Total moment = 0.00 μB/f.u.
VASP energy = -6.4 eV/f.u.
Formation enthalpy at 0 K = 114 meV/atom

=====

A geometry-optimized ErAlZn4Cu2 structure, computed with PBE.

```
data_ErAlZn4Cu2
_chemical_formula_sum 'Er3 Al3 Zn12 Cu6'
_cell_length_a 4.1896
_cell_length_b 4.1896
_cell_length_c 25.9345
_cell_angle_alpha 90.00
_cell_angle_beta 90.00
_cell_angle_gamma 120.00
_symmetry_space_group_name_H-M 'R -3 m'
_symmetry_Int_Tables_number 166
_symmetry_space_group_name_Hall '-R 3 2"'
loop_
_atom_site_label
_atom_site_fract_x
_atom_site_fract_y
_atom_site_fract_z
Er1 0.0000 0.0000 0.0000
Al1 0.0000 0.0000 0.5000
Zn1 0.0000 0.0000 0.1221
Zn2 0.0000 0.0000 0.3983
Cu1 0.0000 0.0000 0.2392
```

Results
Total moment = 0.00 μB/f.u.
VASP energy = -22.6 eV/f.u.
Formation enthalpy at 0 K = -128 meV/atom

=====

A geometry-optimized La2In2Au15 structure, computed with PBE.

```
data_La2In2Au15
_chemical_formula_sum 'La6 In6 Au45'
_cell_length_a 9.6442
_cell_length_b 9.6442
_cell_length_c 14.7868
_cell_angle_alpha 90.00
_cell_angle_beta 90.00
_cell_angle_gamma 120.00
_symmetry_space_group_name_H-M 'R -3 m'
_symmetry_Int_Tables_number 166
_symmetry_space_group_name_Hall '-R 3 2"'
loop_
_atom_site_label
_atom_site_fract_x
_atom_site_fract_y
_atom_site_fract_z
La1 0.0000 0.0000 0.1531
In1 0.0000 0.0000 0.3982
Au1 0.0000 0.3049 0.5000
Au2 0.0000 0.5000 0.0000
Au3 0.0147 0.5074 0.6432
```

Results
Total moment = 0.00 μB/f.u.
VASP energy = -70.7 eV/f.u.
Formation enthalpy at 0 K = -326 meV/atom

=====

A geometry-optimized LiCrCu structure, computed with PBE.

```
data_LiCrCu
_chemical_formula_sum 'Li2 Cr2 Cu2'
_cell_length_a 2.395
_cell_length_b 2.395
_cell_length_c 12.911
_cell_angle_alpha 90.00
_cell_angle_beta 90.00
_cell_angle_gamma 90.00
_symmetry_space_group_name_H-M 'I 4 m m'
_symmetry_Int_Tables_number 107
_symmetry_space_group_name_Hall 'I 4 -2'
loop_
_atom_site_label
_atom_site_fract_x
_atom_site_fract_y
_atom_site_fract_z
Li1 0.000 0.000 0.000
Cr1 0.000 0.000 0.680
Cu1 0.000 0.000 0.337
```

Results
Total moment = 0.00 μB/f.u.
VASP energy = -14.7 eV/f.u.
Formation enthalpy at 0 K = 326 meV/atom

=====

A geometry-optimized Sr3MgAu2O6 structure, computed with PBE.

```
data_Sr3MgAu2O6
_chemical_formula_sum 'Sr3 Mg1 Au2 O6'
_cell_length_a 5.7878
_cell_length_b 5.7878
_cell_length_c 6.5051
_cell_angle_alpha 90.00
_cell_angle_beta 90.00
_cell_angle_gamma 120.00
_symmetry_space_group_name_H-M 'P -3 m 1'
_symmetry_Int_Tables_number 164
_symmetry_space_group_name_Hall '-P 3 2"'
loop_
_atom_site_label
_atom_site_fract_x
_atom_site_fract_y
_atom_site_fract_z
Sr1 0.0000 0.0000 0.0000
Sr2 0.3333 0.6667 0.6163
Mg1 0.0000 0.0000 0.5000
Au1 0.3333 0.6667 0.1151
O1 0.1627 0.3254 0.3093
```

Results
Formation energy from raw total energies = -1483.2 meV/atom
Total moment = 0.00 μB/f.u.
VASP energy = -60.7 eV/f.u.

=====

Taking the records one at a time from the top gives density of states at the Fermi level values of 7.36; 2.37; 6.69; 1.27; 2.87; 8.71; 2.56; 8.51 states/eV/f.u..